(1)
# SCAN In2FeReTc, single point on PBEsol structure
# ΔH_f (0 K) = 7.68 eV/f.u.
# D(E_F) = 3.87 states/eV/f.u.
data_In2FeReTc
_cell_length_a 5.0801
_cell_length_b 5.0801
_cell_length_c 4.3744
_cell_angle_alpha 90.00
_cell_angle_beta 90.00
_cell_angle_gamma 90.00
_symmetry_space_group_name_H-M 'P 4/m m m'
_symmetry_Int_Tables_number 123
_symmetry_space_group_name_Hall '-P 4 2'
loop_
_atom_site_label
_atom_site_type_symbol
_atom_site_fract_x
_atom_site_fract_y
_atom_site_fract_z
_atom_site_occupancy
In1 In 0.0000 0.5000 0.0000 1
Fe1 Fe 0.0000 0.0000 0.5000 1
Re1 Re 0.0000 0.0000 0.0000 1
Tc1 Tc 0.5000 0.5000 0.5000 1



(2)
# SCAN InFeRh2, single point on PBEsol structure
# ΔH_f (0 K) = -0.41 eV/f.u.
# D(E_F) = 2.83 states/eV/f.u.
data_InFeRh2
_cell_length_a 2.8127
_cell_length_b 3.8170
_cell_length_c 5.4414
_cell_angle_alpha 90.00
_cell_angle_beta 90.00
_cell_angle_gamma 90.00
_symmetry_space_group_name_H-M 'P m m 2'
_symmetry_Int_Tables_number 25
_symmetry_space_group_name_Hall 'P 2 -2'
loop_
_atom_site_label
_atom_site_type_symbol
_atom_site_fract_x
_atom_site_fract_y
_atom_site_fract_z
_atom_site_occupancy
In1 In 0.0000 0.0000 0.0000 1
Fe1 Fe 0.5000 0.5000 0.7047 1
Rh1 Rh 0.0000 0.0000 0.5130 1
Rh2 Rh 0.5000 0.5000 0.2427 1